Record 1
Crystalline InRuCl2 at its relaxed geometry. Source: Alexandria, functional GGA-PBE.

For the offset from the most stable computed form, the calculation gives 3 kJ/mol of formula units. Its final energy is -16.63 eV/cell. The formation energy (no corrections) is -0.2314 eV/atom. As for the total magnetization: 0.229 μB per formula unit.

The space group is Pm (No. 6) and the conventional cell measures 4.5272, 3.1510 and 7.2796 Å, with angles of 90.00, 105.43 and 90.00 degrees. The asymmetric unit holds In at (0.0000, 0.0000, 0.0000), Ru at (0.4761, 0.5000, 0.9474), Cl at (0.3622, 0.0000, 0.6891) and Cl at (0.6826, 0.5000, 0.2787).

***

Record 2
Crystalline FeNiIr at its relaxed geometry. Source: Alexandria, functional GGA-PBE.

For the offset from the most stable computed form, the calculation gives 118 kJ/mol of formula units. Its final energy is -87.71 eV/cell. As for the total magnetization: 3.163 μB per formula unit. The value obtained for the formation energy is 114 kJ/mol of formula units.

The space group is F-43m (No. 216) and the conventional cell measures 5.5549, 5.5549 and 5.5549 Å, with angles of 90.00, 90.00 and 90.00 degrees. The asymmetric unit holds Fe at (0.0000, 0.0000, 0.0000), Ni at (0.2500, 0.2500, 0.2500) and Ir at (0.2500, 0.2500, 0.7500).

***

- Which value of offset from the most stable computed form does entry 2 give?
  118 kJ/mol of formula units